Below is PmSbRh2 after structural relaxation, with properties calculated at the GGA-PBE level.

Properties
The total energy comes out at -6.51 eV per atom. As for the energy above the most stable polymorph in this dataset: 154 meV per atom. The calculation puts the density of states at the Fermi level at 0.885 states/eV per atom. As for the density: 10.08 Mg/m³. The uncorrected formation energy is -0.62 eV per atom.

Cell and atoms, written as CIF:
```
data_PmSbRh2
_space_group_name_H-M_alt 'P 4/m m m'
_space_group_IT_number 123
_space_group_name_Hall '-P 4 2'
_cell_length_a 4.5966
_cell_length_b 4.5966
_cell_length_c 3.6839
_cell_angle_alpha 90.00
_cell_angle_beta 90.00
_cell_angle_gamma 90.00
loop_
_atom_site_label
_atom_site_type_symbol
_atom_site_fract_x
_atom_site_fract_y
_atom_site_fract_z
Pm1 Pm 0.0000 0.0000 0.0000
Sb1 Sb 0.5000 0.5000 0.0000
Rh1 Rh 0.0000 0.5000 0.5000
```